(1)
{
  "formula": "LiS2NO4F2",
  "functional": "GGA-PBEsol",
  "state": "relaxed",
  "final_energy_ev_per_atom": -5.82,
  "cell": [[8.632, 0.000, 0.000], [-4.316, 7.475, 0.000], [0.000, 0.000, 12.728]],
  "species": ["S", "S", "S", "S", "S", "S", "S", "S", "S", "S", "S", "S", "O", "O", "O", "O", "O", "O", "O", "O", "O", "O", "O", "O", "O", "O", "O", "O", "O", "O", "O", "O", "O", "O", "O", "O", "F", "F", "F", "F", "F", "F", "F", "F", "F", "F", "F", "F", "N", "N", "N", "N", "N", "N", "Li", "Li", "Li", "Li", "Li", "Li"],
  "frac_coords": [[0.365, 0.027, 0.642], [0.662, 0.635, 0.858], [0.027, 0.662, 0.142], [0.662, 0.635, 0.642], [0.338, 0.365, 0.358], [0.635, 0.973, 0.358], [0.365, 0.027, 0.858], [0.973, 0.338, 0.858], [0.027, 0.662, 0.358], [0.635, 0.973, 0.142], [0.973, 0.338, 0.642], [0.338, 0.365, 0.142], [0.130, 0.514, 0.639], [0.844, 0.291, 0.560], [0.446, 0.156, 0.560], [0.156, 0.709, 0.060], [0.514, 0.384, 0.361], [0.870, 0.486, 0.139], [0.844, 0.291, 0.940], [0.291, 0.446, 0.440], [0.554, 0.844, 0.440], [0.514, 0.384, 0.139], [0.709, 0.554, 0.560], [0.616, 0.130, 0.139], [0.156, 0.709, 0.440], [0.446, 0.156, 0.940], [0.554, 0.844, 0.060], [0.709, 0.554, 0.940], [0.486, 0.616, 0.861], [0.486, 0.616, 0.639], [0.384, 0.870, 0.861], [0.384, 0.870, 0.639], [0.616, 0.130, 0.361], [0.130, 0.514, 0.861], [0.870, 0.486, 0.361], [0.291, 0.446, 0.060], [0.050, 0.208, 0.873], [0.157, 0.950, 0.627], [0.157, 0.950, 0.873], [0.208, 0.157, 0.373], [0.050, 0.208, 0.627], [0.950, 0.792, 0.127], [0.843, 0.050, 0.127], [0.792, 0.843, 0.627], [0.843, 0.050, 0.373], [0.950, 0.792, 0.373], [0.792, 0.843, 0.873], [0.208, 0.157, 0.127], [0.281, 0.407, 0.250], [0.407, 0.126, 0.750], [0.126, 0.719, 0.250], [0.719, 0.593, 0.750], [0.593, 0.874, 0.250], [0.874, 0.281, 0.750], [0.667, 0.333, 0.020], [0.667, 0.333, 0.480], [0.333, 0.667, 0.520], [0.333, 0.667, 0.750], [0.667, 0.333, 0.250], [0.333, 0.667, 0.980]]
}

(2)
{
  "formula": "LiPbN2F",
  "functional": "GGA-PBEsol",
  "state": "relaxed",
  "final_energy_ev_per_atom": -4.48,
  "cell": [[-2.426, 1.383, -3.271], [-2.667, -3.326, 0.572], [-2.466, 2.471, 2.873]],
  "species": ["N", "N", "Li", "Pb", "F"],
  "frac_coords": [[0.000, 0.500, 0.000], [0.500, 0.000, 0.000], [0.500, 0.500, 0.500], [0.000, 0.000, 0.000], [0.000, 0.000, 0.500]]
}

(3)
{
  "formula": "LiPdNF2",
  "functional": "GGA-PBEsol",
  "state": "relaxed",
  "final_energy_ev_per_atom": -4.76,
  "cell": [[-2.484, 2.238, 1.393], [-2.102, -3.404, 1.720], [2.372, 0.370, 3.633]],
  "species": ["F", "F", "N", "Li", "Pd"],
  "frac_coords": [[0.000, 0.000, 0.500], [0.000, 0.500, 0.000], [0.500, 0.000, 0.000], [0.500, 0.500, 0.500], [0.000, 0.000, 0.000]]
}

(4)
{
  "formula": "LiPtNF2",
  "functional": "GGA-PBEsol",
  "state": "relaxed",
  "final_energy_ev_per_atom": -4.41,
  "cell": [[-1.726, 0.238, -2.756], [2.600, -0.971, -1.712], [-1.331, -4.368, 0.456]],
  "species": ["Li", "Pt", "F", "F", "N"],
  "frac_coords": [[0.000, 0.000, 0.000], [0.500, 0.500, 0.500], [0.000, 0.500, 0.000], [0.500, 0.000, 0.000], [0.000, 0.000, 0.500]]
}

(5)
{
  "formula": "LiSNF2",
  "functional": "GGA-PBEsol",
  "state": "relaxed",
  "final_energy_ev_per_atom": -4.43,
  "cell": [[3.296, 0.000, 0.000], [0.000, 4.360, 0.000], [0.000, 0.000, 4.360]],
  "species": ["F", "F", "S", "N", "Li"],
  "frac_coords": [[0.000, 0.000, 0.500], [0.000, 0.500, 0.000], [0.000, 0.000, 0.000], [0.500, 0.000, 0.000], [0.500, 0.500, 0.500]]
}

(6)
{
  "formula": "LiScNF2",
  "functional": "GGA-PBEsol",
  "state": "relaxed",
  "final_energy_ev_per_atom": -6.07,
  "cell": [[-1.865, -2.660, 0.987], [1.424, 0.144, 3.079], [-2.954, 2.534, 1.248]],
  "species": ["Sc", "N", "Li", "F", "F"],
  "frac_coords": [[0.500, 0.500, 0.500], [0.000, 0.000, 0.500], [0.000, 0.000, 0.000], [0.500, 0.000, 0.000], [0.000, 0.500, 0.000]]
}

(7)
{
  "formula": "LiSe2NF",
  "functional": "GGA-PBEsol",
  "state": "relaxed",
  "final_energy_ev_per_atom": -3.28,
  "cell": [[-2.271, -3.125, -2.074], [1.115, -2.878, 3.114], [-3.928, 1.191, 2.507]],
  "species": ["Li", "F", "Se", "Se", "N"],
  "frac_coords": [[0.500, 0.500, 0.500], [0.000, 0.000, 0.000], [0.500, 0.000, 0.000], [0.000, 0.500, 0.000], [0.000, 0.000, 0.500]]
}

(8)
{
  "formula": "LiSnNF2",
  "functional": "GGA-PBEsol",
  "state": "relaxed",
  "final_energy_ev_per_atom": -4.93,
  "cell": [[3.838, 0.000, 0.000], [0.000, 4.296, 0.000], [0.000, 0.000, 4.296]],
  "species": ["N", "F", "F", "Sn", "Li"],
  "frac_coords": [[0.500, 0.000, 0.000], [0.000, 0.500, 0.000], [0.000, 0.000, 0.500], [0.000, 0.000, 0.000], [0.500, 0.500, 0.500]]
}

(9)
{
  "formula": "LiSnN2F",
  "functional": "GGA-PBEsol",
  "state": "relaxed",
  "final_energy_ev_per_atom": -4.69,
  "cell": [[-2.436, -2.023, -1.580], [1.571, -3.042, 1.472], [-2.200, 0.312, 2.992]],
  "species": ["Sn", "N", "N", "Li", "F"],
  "frac_coords": [[0.500, 0.500, 0.500], [0.000, 0.500, 0.000], [0.000, 0.000, 0.500], [0.000, 0.000, 0.000], [0.500, 0.000, 0.000]]
}

(10)
{
  "formula": "Sr2LiTaN3F",
  "functional": "GGA-PBEsol",
  "state": "relaxed",
  "final_energy_ev_per_atom": -7.42,
  "cell": [[5.549, 0.000, 0.000], [0.000, 10.738, 0.000], [0.000, 0.000, 15.803]],
  "species": ["Li", "Li", "Li", "Li", "Li", "Li", "Li", "Li", "Sr", "Sr", "Sr", "Sr", "Sr", "Sr", "Sr", "Sr", "Sr", "Sr", "Sr", "Sr", "Sr", "Sr", "Sr", "Sr", "N", "N", "N", "N", "N", "N", "N", "N", "N", "N", "N", "N", "N", "N", "N", "N", "N", "N", "N", "N", "N", "N", "N", "N", "Ta", "Ta", "Ta", "Ta", "Ta", "Ta", "Ta", "Ta", "F", "F", "F", "F", "F", "F", "F", "F"],
  "frac_coords": [[0.710, 0.334, 0.521], [0.210, 0.166, 0.521], [0.290, 0.166, 0.021], [0.210, 0.666, 0.979], [0.790, 0.834, 0.479], [0.790, 0.334, 0.021], [0.710, 0.834, 0.979], [0.290, 0.666, 0.479], [0.208, 0.449, 0.585], [0.218, 0.631, 0.785], [0.782, 0.869, 0.285], [0.292, 0.949, 0.415], [0.718, 0.369, 0.715], [0.208, 0.949, 0.915], [0.718, 0.869, 0.785], [0.292, 0.449, 0.085], [0.282, 0.631, 0.285], [0.708, 0.051, 0.585], [0.782, 0.369, 0.215], [0.218, 0.131, 0.715], [0.708, 0.551, 0.915], [0.282, 0.131, 0.215], [0.792, 0.051, 0.085], [0.792, 0.551, 0.415], [0.694, 0.117, 0.748], [0.806, 0.117, 0.248], [0.748, 0.005, 0.425], [0.248, 0.995, 0.075], [0.752, 0.005, 0.925], [0.194, 0.383, 0.748], [0.820, 0.822, 0.612], [0.680, 0.322, 0.388], [0.694, 0.617, 0.752], [0.180, 0.178, 0.388], [0.320, 0.678, 0.612], [0.320, 0.178, 0.888], [0.252, 0.995, 0.575], [0.806, 0.617, 0.252], [0.194, 0.883, 0.752], [0.748, 0.505, 0.075], [0.306, 0.383, 0.248], [0.252, 0.495, 0.925], [0.248, 0.495, 0.425], [0.306, 0.883, 0.252], [0.180, 0.678, 0.112], [0.680, 0.822, 0.112], [0.752, 0.505, 0.575], [0.820, 0.322, 0.888], [0.167, 0.345, 0.866], [0.333, 0.345, 0.366], [0.333, 0.845, 0.134], [0.667, 0.655, 0.634], [0.833, 0.155, 0.366], [0.667, 0.155, 0.866], [0.167, 0.845, 0.634], [0.833, 0.655, 0.134], [0.460, 0.255, 0.583], [0.040, 0.255, 0.083], [0.040, 0.755, 0.417], [0.540, 0.745, 0.417], [0.960, 0.245, 0.583], [0.460, 0.755, 0.917], [0.960, 0.745, 0.917], [0.540, 0.245, 0.083]]
}

(11)
{
  "formula": "LiTcN2F",
  "functional": "GGA-PBEsol",
  "state": "relaxed",
  "final_energy_ev_per_atom": -5.68,
  "cell": [[3.167, 0.000, 0.000], [0.000, 3.690, 0.000], [0.000, 0.000, 3.690]],
  "species": ["N", "N", "Li", "F", "Tc"],
  "frac_coords": [[0.000, 0.000, 0.500], [0.000, 0.500, 0.000], [0.000, 0.000, 0.000], [0.500, 0.000, 0.000], [0.500, 0.500, 0.500]]
}

(12)
{
  "formula": "LiTcNF2",
  "functional": "GGA-PBEsol",
  "state": "relaxed",
  "final_energy_ev_per_atom": -6.26,
  "cell": [[-0.366, 2.964, 2.268], [2.222, -1.902, 2.845], [3.399, 1.622, -1.570]],
  "species": ["Li", "N", "F", "F", "Tc"],
  "frac_coords": [[0.500, 0.500, 0.500], [0.500, 0.000, 0.000], [0.000, 0.000, 0.500], [0.000, 0.500, 0.000], [0.000, 0.000, 0.000]]
}

Here are the calculated magnetic moment numbers, same order: 0.0 2.0 0.0 1.7 0.0 1.0 2.9 0.0 0.0 0.0 1.0 0.0 (μB per cell).